1.
5
Lattice="-1.980 1.980 5.934 1.980 -1.980 5.934 1.980 1.980 -5.934" Properties=species:S:1:pos:R:3 comment="Er2CdO2, relaxed, DFT PBE" sg="No. 139" formation_energy_uncorrected_ev_per_atom=-2.46 pbc="T T T"
Er 0.000 0.000 1.922
Er 0.000 0.000 9.945
Cd 0.000 0.000 5.934
O 1.980 0.000 2.967
O 0.000 1.980 2.967

2.
14
Lattice="-3.371 3.371 4.761 3.371 -3.371 4.761 3.371 3.371 -4.761" Properties=species:S:1:pos:R:3 comment="Er2CdO4, relaxed, DFT PBE" sg="No. 141" formation_energy_uncorrected_ev_per_atom=-2.85 pbc="T T T"
Er 0.000 0.000 0.000
Er 1.685 1.685 -2.380
Er 1.685 -1.685 2.380
Er 0.000 3.371 0.000
Cd 3.371 1.685 1.190
Cd 0.000 1.685 3.571
O 3.371 3.191 -2.504
O 3.371 -0.180 2.504
O 1.506 1.685 -0.123
O 1.865 -1.685 4.638
O 1.506 5.056 0.123
O 1.865 1.685 4.884
O 0.000 3.551 2.257
O 0.000 0.180 7.265

3.
4
Lattice="1.725 0.996 6.711 -1.725 0.996 6.711 0.000 -1.991 6.711" Properties=species:S:1:pos:R:3 comment="ErCdO2, relaxed, DFT PBE" sg="No. 166" formation_energy_uncorrected_ev_per_atom=-2.33 pbc="T T T"
Er 0.000 0.000 0.000
Cd 0.000 0.000 10.067
O 0.000 0.000 7.798
O 0.000 0.000 12.335

4.
18
Lattice="5.508 0.000 0.000 -2.754 4.770 0.000 0.000 0.000 9.296" Properties=species:S:1:pos:R:3 comment="ErCdOsO6, relaxed, DFT PBE" sg="No. 163" formation_energy_uncorrected_ev_per_atom=-1.65 pbc="T T T"
Er 0.000 3.180 2.324
Er 2.754 1.590 6.972
Cd 0.000 0.000 0.000
Cd 0.000 0.000 4.648
Os 0.000 3.180 6.972
Os 2.754 1.590 2.324
O -0.820 1.830 5.898
O -1.580 3.145 8.045
O 0.820 1.830 8.045
O -0.759 4.566 5.898
O 1.995 0.205 1.251
O 1.175 1.625 3.397
O 1.580 3.145 5.898
O 0.759 4.566 8.045
O 3.513 0.205 3.397
O 1.934 2.940 1.251
O 4.334 1.625 1.251
O 3.574 2.940 3.397

> Number 1 is which compound?

Er2CdO2

Repeat the first record exactly.
5
Lattice="-1.980 1.980 5.934 1.980 -1.980 5.934 1.980 1.980 -5.934" Properties=species:S:1:pos:R:3 comment="Er2CdO2, relaxed, DFT PBE" sg="No. 139" formation_energy_uncorrected_ev_per_atom=-2.46 pbc="T T T"
Er 0.000 0.000 1.922
Er 0.000 0.000 9.945
Cd 0.000 0.000 5.934
O 1.980 0.000 2.967
O 0.000 1.980 2.967